(1)
YHfCuTc | PBE-GGA | optimized geometry

The calculation puts the volume at 300.2 Å³/cell. The formation energy is -162 meV/atom.

The structure belongs to space group F-43m (No. 216); the cell edges are 6.696, 6.696 and 6.696 Å and the angles 90.00°, 90.00° and 90.00°. The inequivalent atoms are Y at (0.000, 0.000, 0.000), Hf at (0.000, 0.000, 0.500), Cu at (0.250, 0.250, 0.250) and Tc at (0.250, 0.250, 0.750).

---

(2)
Ba3S2Cl | PBE-GGA | optimized geometry

The value obtained for the raw formation energy is -1.778 eV per atom. The calculation puts the volume at 989.3 Å³/cell.

The structure belongs to space group Cmcm (No. 63); the cell edges are 4.553, 15.615 and 13.914 Å and the angles 90.00°, 90.00° and 90.00°. The inequivalent atoms are Ba at (0.000, 0.113, 0.083), Ba at (0.000, 0.381, 0.250), S at (0.000, 0.002, 0.750), S at (0.000, 0.500, 0.000) and Cl at (0.000, 0.280, 0.750).

---

(3)
LaIn4Pd2 | PBE-GGA | optimized geometry

The calculation puts the volume at 325.9 Å³/cell. The calculation puts the excess energy over the best structure of this formula in the dataset at 97.8 meV/atom. The formation energy is -497 meV/atom.

The structure belongs to space group P4_2/mnm (No. 136); the cell edges are 8.941, 8.941 and 4.076 Å and the angles 90.00°, 90.00° and 90.00°. The inequivalent atoms are La at (0.000, 0.000, 0.000), In at (0.084, 0.324, 0.500) and Pd at (0.196, 0.804, 0.500).

---

(4)
ScTaBi2 | PBE-GGA | optimized geometry

The calculation puts the volume at 581.6 Å³/cell. The calculation puts the excess energy over the best structure of this formula in the dataset at 584.2 meV/atom. The formation energy is 692 meV/atom.

The structure belongs to space group I-42d (No. 122); the cell edges are 6.542, 6.542 and 13.589 Å and the angles 90.00°, 90.00° and 90.00°. The inequivalent atoms are Sc at (0.000, 0.000, 0.000), Ta at (0.000, 0.000, 0.500) and Bi at (0.232, 0.250, 0.625).

---

(5)
RbBeAsBr2 | PBE-GGA | optimized geometry

The value obtained for the raw formation energy is -0.445 eV per atom. The calculation puts the volume at 136.9 Å³/cell. The calculation puts the excess energy over the best structure of this formula in the dataset at 0.0 meV/atom.

The structure belongs to space group P4/mmm (No. 123); the cell edges are 5.592, 5.592 and 4.377 Å and the angles 90.00°, 90.00° and 90.00°. The inequivalent atoms are Rb at (0.000, 0.000, 0.000), Be at (0.500, 0.500, 0.500), As at (0.500, 0.500, 0.000) and Br at (0.000, 0.500, 0.500).

---

(6)
V2CrRu | PBE-GGA | optimized geometry

The calculation puts the volume at 223.0 Å³/cell. The calculation puts the excess energy over the best structure of this formula in the dataset at 742.1 meV/atom. The formation energy is 469 meV/atom.

The structure belongs to space group I-42d (No. 122); the cell edges are 6.619, 6.619 and 5.089 Å and the angles 90.00°, 90.00° and 90.00°. The inequivalent atoms are V at (0.246, 0.750, 0.125), Cr at (0.000, 0.000, 0.000) and Ru at (0.000, 0.000, 0.500).

---

(7)
Li4MgPd2 | PBE-GGA | optimized geometry

The calculation puts the volume at 231.0 Å³/cell. The calculation puts the excess energy over the best structure of this formula in the dataset at 85.6 meV/atom. The formation energy is -222 meV/atom.

The structure belongs to space group Cm (No. 8); the cell edges are 4.990, 2.922 and 15.866 Å and the angles 90.00°, 93.26° and 90.00°. The inequivalent atoms are Li at (0.000, 0.000, 0.000), Li at (0.022, 0.500, 0.166), Li at (0.079, 0.500, 0.493), Li at (0.451, 0.500, 0.746), Mg at (0.209, 0.000, 0.327), Pd at (0.265, 0.000, 0.618) and Pd at (0.315, 0.000, 0.875).

---

(8)
Er3Al2Zn9 | PBE-GGA | optimized geometry

The calculation puts the volume at 500.8 Å³/cell. The formation energy is -343 meV/atom.

The structure belongs to space group Immm (No. 71); the cell edges are 4.286, 9.307 and 12.555 Å and the angles 90.00°, 90.00° and 90.00°. The inequivalent atoms are Er at (0.000, 0.000, 0.000), Er at (0.000, 0.000, 0.296), Al at (0.000, 0.192, 0.500), Zn at (0.000, 0.279, 0.140), Zn at (0.000, 0.366, 0.341) and Zn at (0.000, 0.500, 0.000).

---

(9)
SrScSe | PBE-GGA | optimized geometry

The value obtained for the raw formation energy is -0.787 eV per atom. The calculation puts the volume at 91.4 Å³/cell. The calculation puts the excess energy over the best structure of this formula in the dataset at 184.4 meV/atom.

The structure belongs to space group P3m1 (No. 156); the cell edges are 4.6015, 4.6015 and 4.9826 Å and the angles 90.00°, 90.00° and 120.00°. The inequivalent atoms are Sr at (0.0000, 0.0000, 0.0000), Sc at (0.6667, 0.3333, 0.5011) and Se at (0.3333, 0.6667, 0.5061).

---

(10)
ZnSb2Se | PBE-GGA | optimized geometry

The value obtained for the raw formation energy is -0.196 eV per atom. The calculation puts the volume at 392.2 Å³/cell. The calculation puts the excess energy over the best structure of this formula in the dataset at 0.0 meV/atom.

The structure belongs to space group R3m (No. 160, hexagonal axes); the cell edges are 4.1118, 4.1118 and 26.7887 Å and the angles 90.00°, 90.00° and 120.00°. The inequivalent atoms are Zn at (0.0000, 0.0000, 0.0000), Sb at (0.0000, 0.0000, 0.5211), Sb at (0.0000, 0.0000, 0.7930) and Se at (0.0000, 0.0000, 0.3185).

---

(11)
Pm8Nd2In | PBE-GGA | optimized geometry

The calculation puts the volume at 760.5 Å³/cell. The calculation puts the excess energy over the best structure of this formula in the dataset at 70.1 meV/atom. The formation energy is 5 meV/atom.

The structure belongs to space group Immm (No. 71); the cell edges are 5.597, 7.755 and 17.521 Å and the angles 90.00°, 90.00° and 90.00°. The inequivalent atoms are Pm at (0.000, 0.000, 0.176), Pm at (0.000, 0.227, 0.364), Pm at (0.000, 0.257, 0.000), Nd at (0.000, 0.500, 0.193) and In at (0.000, 0.500, 0.500).

---

(12)
La3Nd2S4 | PBE-GGA | optimized geometry

The value obtained for the raw formation energy is -1.851 eV per atom. The calculation puts the volume at 489.6 Å³/cell.

The structure belongs to space group C2/m (No. 12); the cell edges are 13.677, 4.124 and 10.053 Å and the angles 90.00°, 120.29° and 90.00°. The inequivalent atoms are La at (0.000, 0.000, 0.000), La at (0.199, 0.000, 0.794), Nd at (0.104, 0.500, 0.395), S at (0.101, 0.500, 0.900) and S at (0.201, 0.000, 0.305).